# 1
The following is a PBE calculation of Nd2GdAl7Ag2 after structural relaxation, from OQMD.

Structure (extended XYZ):
```
12
Lattice="2.816 1.626 8.890 -2.816 1.626 8.890 0.000 -3.251 8.890" Properties=species:S:1:pos:R:3 pbc="T T T"
Nd 0.000 0.000 3.779
Nd 0.000 0.000 22.889
Gd 0.000 0.000 0.000
Al -1.440 -0.831 11.084
Al 0.000 -1.663 15.585
Al -1.440 0.831 15.585
Al 0.000 0.000 13.334
Al 1.440 -0.831 11.084
Al 0.000 1.663 11.084
Al 1.440 0.831 15.585
Ag 0.000 0.000 8.959
Ag 0.000 0.000 17.710
```

Properties
The calculation puts the total energy at -0.1576 hartree per atom. The total magnetic moment is 0.004 μB/f.u.

=====

# 2
The following is a PBE calculation of Ho2Sc2BCl5 after structural relaxation, from OQMD.

Structure (extended XYZ):
```
10
Lattice="8.264 -1.850 0.000 8.264 1.850 0.000 -1.761 0.000 7.633" Properties=species:S:1:pos:R:3 pbc="T T T"
Ho -0.482 0.000 2.162
Ho 15.248 0.000 5.471
Sc 5.140 0.000 3.236
Sc 9.627 0.000 4.398
B 7.383 0.000 3.817
Cl 1.341 0.000 6.231
Cl 2.253 0.000 2.712
Cl 8.264 0.000 0.000
Cl 12.514 0.000 4.921
Cl 13.425 0.000 1.402
```

Properties
The calculation puts the total energy at -0.1993 hartree per atom. The total magnetic moment is 0.005 μB/f.u.

=====

# 3
The following is a PBE calculation of AlZnCoW after structural relaxation, from OQMD.

Structure (extended XYZ):
```
4
Lattice="0.000 3.021 3.021 3.021 0.000 3.021 3.021 3.021 0.000" Properties=species:S:1:pos:R:3 pbc="T T T"
Al 0.000 0.000 0.000
Zn 3.021 3.021 3.021
Co 1.511 1.511 1.511
W 4.532 4.532 4.532
```

Properties
The calculation puts the total energy at -0.2207 hartree per atom. The total magnetic moment is 2.306 μB/f.u.

=====

# 4
The following is a PBE calculation of MgScAu after structural relaxation, from OQMD.

Structure (extended XYZ):
```
3
Lattice="0.000 3.263 3.263 3.263 0.000 3.263 3.263 3.263 0.000" Properties=species:S:1:pos:R:3 pbc="T T T"
Mg 0.000 0.000 0.000
Sc 4.895 4.895 4.895
Au 3.263 3.263 3.263
```

Properties
The calculation puts the total energy at -0.1364 hartree per atom. The total magnetic moment is 0.019 μB/f.u.

=====

Copy entry 4 word for word.
The following is a PBE calculation of MgScAu after structural relaxation, from OQMD.

Structure (extended XYZ):
```
3
Lattice="0.000 3.263 3.263 3.263 0.000 3.263 3.263 3.263 0.000" Properties=species:S:1:pos:R:3 pbc="T T T"
Mg 0.000 0.000 0.000
Sc 4.895 4.895 4.895
Au 3.263 3.263 3.263
```

Properties
The calculation puts the total energy at -0.1364 hartree per atom. The total magnetic moment is 0.019 μB/f.u.

=====

Question: What is the total magnetic moment in the fourth record?
Answer: 0.019 μB/f.u.

=====

Question: Which of these has the highest total magnetic moment?
Answer: AlZnCoW